# 1
This record from Alexandria describes a relaxed structure of GaGe2Au. The functional is GGA-PBE.

Values from the calculation:
Space group ... R-3m (166)
Energy of formation from the pure elements ... 0.2569 eV per atom
V ... 107.0 Å³/cell
Raw total energy ... -14.5 eV for the cell shown
N(E_F) ... 2.273 states/eV/f.u.

Cell lengths 7.427, 7.427, 7.427 Å; angles 32.81, 32.81, 32.81 degrees
Fractional positions:
Ga (0.000, 0.000, 0.000)
Ge (0.121, 0.121, 0.121)
Ge (0.879, 0.879, 0.879)
Au (0.500, 0.500, 0.500)

=====

# 2
This record from Alexandria describes a relaxed structure of GaGeAu. The functional is GGA-PBE.

Values from the calculation:
Space group ... Pnma (62)
Energy of formation from the pure elements ... 0.0080 eV per atom
V ... 240.7 Å³/cell
Raw total energy ... -43.6 eV for the cell shown
N(E_F) ... 1.229 states/eV/f.u.

Cell lengths 8.302, 4.175, 6.944 Å; angles 90.00, 90.00, 90.00 degrees
Fractional positions:
Ga (0.000, 0.250, 0.227)
Ga (0.000, 0.750, 0.773)
Ga (0.500, 0.250, 0.273)
Ga (0.500, 0.750, 0.727)
Ge (0.202, 0.250, 0.950)
Ge (0.298, 0.750, 0.450)
Ge (0.702, 0.250, 0.550)
Ge (0.798, 0.750, 0.050)
Au (0.131, 0.250, 0.577)
Au (0.369, 0.750, 0.077)
Au (0.631, 0.250, 0.923)
Au (0.869, 0.750, 0.423)

=====

# 3
This record from Alexandria describes a relaxed structure of GaGeAu2. The functional is GGA-PBE.

Values from the calculation:
Space group ... Pbca (61)
Energy of formation from the pure elements ... -0.0878 eV per atom
V ... 631.1 Å³/cell
Raw total energy ... -116.4 eV for the cell shown
N(E_F) ... 1.342 states/eV/f.u.
ΔE to the lowest computed polymorph ... 0.0 kJ/mol of atoms

Cell lengths 5.718, 16.283, 6.778 Å; angles 90.00, 90.00, 90.00 degrees
Fractional positions:
Ga (0.235, 0.187, 0.092)
Ga (0.235, 0.313, 0.592)
Ga (0.265, 0.687, 0.092)
Ga (0.265, 0.813, 0.592)
Ga (0.735, 0.187, 0.408)
Ga (0.735, 0.313, 0.908)
Ga (0.765, 0.687, 0.408)
Ga (0.765, 0.813, 0.908)
Ge (0.198, 0.563, 0.582)
Ge (0.198, 0.937, 0.082)
Ge (0.302, 0.063, 0.582)
Ge (0.302, 0.437, 0.082)
Ge (0.698, 0.563, 0.918)
Ge (0.698, 0.937, 0.418)
Ge (0.802, 0.063, 0.918)
Ge (0.802, 0.437, 0.418)
Au (0.001, 0.188, 0.737)
Au (0.001, 0.312, 0.237)
Au (0.003, 0.561, 0.207)
Au (0.003, 0.939, 0.707)
Au (0.497, 0.061, 0.207)
Au (0.497, 0.439, 0.707)
Au (0.499, 0.688, 0.737)
Au (0.499, 0.812, 0.237)
Au (0.501, 0.188, 0.763)
Au (0.501, 0.312, 0.263)
Au (0.503, 0.561, 0.293)
Au (0.503, 0.939, 0.793)
Au (0.997, 0.061, 0.293)
Au (0.997, 0.439, 0.793)
Au (0.999, 0.688, 0.763)
Au (0.999, 0.812, 0.263)

=====

# 4
This record from Alexandria describes a relaxed structure of GaGeAu2. The functional is GGA-PBE.

Values from the calculation:
Space group ... I-42d (122)
Energy of formation from the pure elements ... 0.1160 eV per atom
V ... 202.4 Å³/cell
Raw total energy ... -27.5 eV for the cell shown
N(E_F) ... 2.330 states/eV/f.u.
ΔE to the lowest computed polymorph ... 19.7 kJ/mol of atoms

Cell lengths 7.158, 7.158, 7.158 Å; angles 131.33, 131.33, 71.28 degrees
Fractional positions:
Ga (0.000, 0.000, 0.000)
Ga (0.750, 0.250, 0.500)
Ge (0.250, 0.750, 0.500)
Ge (0.500, 0.500, 0.000)
Au (0.133, 0.625, 0.008)
Au (0.375, 0.383, 0.508)
Au (0.617, 0.125, 0.992)
Au (0.875, 0.867, 0.492)

=====

# 5
This record from Alexandria describes a relaxed structure of GaGeAu2. The functional is GGA-PBE.

Values from the calculation:
Space group ... R-3m (166)
Energy of formation from the pure elements ... 0.0639 eV per atom
V ... 76.2 Å³/cell
Raw total energy ... -13.9 eV for the cell shown
N(E_F) ... 1.598 states/eV/f.u.
ΔE to the lowest computed polymorph ... 14.6 kJ/mol of atoms

Cell lengths 10.430, 10.430, 10.430 Å; angles 16.11, 16.11, 16.11 degrees
Fractional positions:
Ga (0.000, 0.000, 0.000)
Ge (0.500, 0.500, 0.500)
Au (0.087, 0.087, 0.087)
Au (0.913, 0.913, 0.913)

=====

# 6
This record from Alexandria describes a relaxed structure of GaGeAu. The functional is GGA-PBE.

Values from the calculation:
Space group ... P3m1 (156)
Energy of formation from the pure elements ... 0.0390 eV per atom
V ... 60.1 Å³/cell
Raw total energy ... -10.8 eV for the cell shown
N(E_F) ... 1.545 states/eV/f.u.

Cell lengths 4.162, 4.162, 4.006 Å; angles 90.00, 90.00, 120.00 degrees
Fractional positions:
Ga (0.000, 0.000, 0.000)
Ge (0.333, 0.667, 0.617)
Au (0.667, 0.333, 0.307)